[1]
## ScHRh3 (GGA-PBE)

Data for ScHRh3 after structural relaxation.

Summary:
Volume, A^3/atom: 13.378
Mass density, kg/m³: 8805
D(E_F), states/eV per cell: 9.668
Symmetry: No. 194
Energy, eV per atom: -6.5022

The structure in POSCAR format:
```
ScHRh3
1.0
3.0194 0.0000 0.0000
-1.5097 2.6149 0.0000
0.0000 0.0000 16.9434
Sc H Rh
2 2 6
Direct
0.0000 0.0000 0.0000
0.0000 0.0000 0.5000
0.3333 0.6667 0.2500
0.6667 0.3333 0.7500
0.0000 0.0000 0.2500
0.0000 0.0000 0.7500
0.3333 0.6667 0.1201
0.3333 0.6667 0.3799
0.6667 0.3333 0.6201
0.6667 0.3333 0.8799
```



[2]
## TlCoW (GGA-PBE)

Data for TlCoW after structural relaxation.

Summary:
Volume, A^3/atom: 16.946
Mass density, kg/m³: 14606
Formation energy from the elements, eV/atom: 0.709
D(E_F), states/eV per cell: 3.112
Symmetry: No. 156

The structure in POSCAR format:
```
TlCoW
1.0
2.9635 0.0000 0.0000
-1.4817 2.5664 0.0000
0.0000 0.0000 6.6842
Tl Co W
1 1 1
Direct
0.0000 0.0000 0.0000
0.6667 0.3333 0.6598
0.3333 0.6667 0.3904
```



[3]
## La2SeBr2N (GGA-PBE)

Data for La2SeBr2N after structural relaxation.

Summary:
Volume, A^3/atom: 30.850
Mass density, kg/m³: 4760
D(E_F), states/eV per cell: 4.833
Symmetry: No. 26
E_form (uncorrected), eV per atom: -1.60

The structure in POSCAR format:
```
La2SeBr2N
1.0
4.2601 0.0000 0.0000
0.0000 11.2016 0.0000
0.0000 0.0000 7.7578
La Se Br N
4 2 4 2
Direct
0.0000 0.0783 0.0000
0.0000 0.9217 0.5000
0.5000 0.2166 0.3960
0.5000 0.7834 0.8960
0.5000 0.0527 0.7074
0.5000 0.9473 0.2074
0.0000 0.3747 0.5626
0.0000 0.6253 0.0626
0.5000 0.2845 0.0232
0.5000 0.7155 0.5232
0.0000 0.1182 0.3394
0.0000 0.8818 0.8394
```



[4]
## ZrBTe3 (GGA-PBE)

Data for ZrBTe3 after structural relaxation.

Summary:
Volume, A^3/atom: 22.802
Mass density, kg/m³: 7062
D(E_F), states/eV per cell: 4.023
Symmetry: No. 221
E_form (uncorrected), eV per atom: 0.47

The structure in POSCAR format:
```
ZrBTe3
1.0
4.8490 0.0000 0.0000
0.0000 4.8490 0.0000
0.0000 0.0000 4.8490
Zr B Te
1 1 3
Direct
0.0000 0.0000 0.0000
0.5000 0.5000 0.5000
0.0000 0.5000 0.5000
0.5000 0.0000 0.5000
0.5000 0.5000 0.0000
```